## one
Compound: KMnCd3
Source: the Alexandria database
Functional: SCAN
Structure: PBEsol geometry

Calculated density = 3.6 g/cm³

Lattice parameters (Å, degrees): 5.853 5.853 5.853 90.00 90.00 90.00
Each line ends with the local moment (μB).
Atoms (fractional coordinates):
K  0.000  0.000  0.000  -0.01
Cd  0.000  0.500  0.000  -0.01
Cd  0.500  0.000  0.000  -0.01
Mn  0.500  0.500  0.500  4.80
Cd  0.000  0.000  0.500  -0.01



## two
Compound: KMnCd3
Source: the Alexandria database
Functional: SCAN
Structure: PBEsol geometry

Calculated density = 5.1 g/cm³

Lattice parameters (Å, degrees): 5.195 5.195 5.195 90.00 90.00 90.00
Each line ends with the local moment (μB).
Atoms (fractional coordinates):
Mn  0.000  0.000  0.000  3.97
Cd  0.500  0.000  0.000  -0.03
Cd  0.000  0.500  0.000  -0.03
K  0.500  0.500  0.500  -0.02
Cd  0.000  0.000  0.500  -0.03



On energetic grounds, two is preferred over the next structure by 871 meV per atom.



## one
Compound: KCd2Mo
Source: the Alexandria database
Functional: SCAN
Structure: PBEsol geometry

Calculated density = 5.8 g/cm³

Lattice parameters (Å, degrees): 3.582 3.582 8.083 90.00 90.00 90.00
Each line ends with the local moment (μB).
Atoms (fractional coordinates):
Cd  0.000  0.000  0.973  -0.02
K  0.000  0.000  0.507  0.02
Cd  0.500  0.500  0.191  -0.02
Mo  0.500  0.500  0.828  2.92



## two
Compound: KCd2Mo
Source: the Alexandria database
Functional: SCAN
Structure: PBEsol geometry

Calculated density = 6.2 g/cm³

Lattice parameters (Å, degrees): 2.749 4.963 7.314 93.42 90.00 106.08
Each line ends with the local moment (μB).
Atoms (fractional coordinates):
Mo  0.500  0.000  0.000  0.95
Cd  0.240  0.480  0.182  -0.01
Cd  0.760  0.520  0.818  -0.01
K  0.000  0.000  0.500  0.00



## three
Compound: KCd2Mo
Source: the Alexandria database
Functional: SCAN
Structure: PBEsol geometry

Calculated density = 7.2 g/cm³

Lattice parameters (Å, degrees): 2.813 5.430 5.430 90.00 90.00 90.00
Each line ends with the local moment (μB).
Atoms (fractional coordinates):
Mo  0.500  0.000  0.000  -0.73
Cd  0.000  0.000  0.500  0.01
Cd  0.000  0.500  0.000  0.01
K  0.500  0.500  0.500  0.01



On energetic grounds, three is preferred over the next structure by 36 meV per atom.



## one
Compound: K2Cd2Pb
Source: the Alexandria database
Functional: SCAN
Structure: PBEsol geometry

Calculated density = 5.1 g/cm³

Lattice parameters (Å, degrees): 5.723 7.655 7.655 90.00 90.00 90.00
Atoms (fractional coordinates):
Cd  0.000  0.631  0.131
Pb  0.000  0.500  0.500
K  0.500  0.818  0.318
Cd  0.000  0.369  0.869
Cd  0.000  0.131  0.369
K  0.500  0.682  0.818
Pb  0.000  0.000  0.000
K  0.500  0.182  0.682
K  0.500  0.318  0.182
Cd  0.000  0.869  0.631



## two
Compound: K2Cd2Pb
Source: the Alexandria database
Functional: SCAN
Structure: PBEsol geometry

Calculated density = 5.0 g/cm³

Lattice parameters (Å, degrees): 4.763 4.763 8.206 106.87 106.87 90.00
Atoms (fractional coordinates):
Cd  0.590  0.590  0.180
K  0.750  0.250  0.500
Pb  0.000  0.000  0.000
K  0.250  0.750  0.500
Cd  0.410  0.410  0.820



On energetic grounds, one is preferred over the next structure by 342 meV per atom.



## one
Compound: KCd2Pb2
Source: the Alexandria database
Functional: SCAN
Structure: PBEsol geometry

Calculated density = 7.4 g/cm³

Lattice parameters (Å, degrees): 4.869 4.869 7.263 109.59 109.59 90.00
Atoms (fractional coordinates):
K  0.000  0.000  0.000
Pb  0.617  0.617  0.234
Cd  0.250  0.750  0.500
Pb  0.383  0.383  0.766
Cd  0.750  0.250  0.500



## two
Compound: KCd2Pb2
Source: the Alexandria database
Functional: SCAN
Structure: PBEsol geometry

Calculated density = 7.9 g/cm³

Lattice parameters (Å, degrees): 3.396 9.174 9.174 90.00 90.00 90.00
Atoms (fractional coordinates):
Pb  0.000  0.639  0.139
K  0.000  0.000  0.000
Pb  0.000  0.361  0.861
Cd  0.500  0.346  0.154
Pb  0.000  0.139  0.361
Cd  0.500  0.154  0.654
Cd  0.500  0.654  0.846
Cd  0.500  0.846  0.346
K  0.000  0.500  0.500
Pb  0.000  0.861  0.639



On energetic grounds, one is preferred over the next structure by 129 meV per atom.



## one
Compound: KCdPt
Source: the Alexandria database
Functional: SCAN
Structure: PBEsol geometry

Calculated density = 7.7 g/cm³

Lattice parameters (Å, degrees): 2.996 4.341 6.303 110.14 103.75 90.00
Atoms (fractional coordinates):
K  0.668  0.668  0.336
Pt  0.390  0.390  0.780
Cd  0.942  0.942  0.884



## two
Compound: KCdPt
Source: the Alexandria database
Functional: SCAN
Structure: PBEsol geometry

Calculated density = 7.0 g/cm³

Lattice parameters (Å, degrees): 4.884 4.884 4.884 60.00 60.00 60.00
Atoms (fractional coordinates):
K  0.250  0.250  0.250
Cd  0.500  0.500  0.500
Pt  0.000  0.000  0.000



## three
Compound: KCdPt
Source: the Alexandria database
Functional: SCAN
Structure: PBEsol geometry

Calculated density = 7.4 g/cm³

Lattice parameters (Å, degrees): 4.800 4.800 4.800 60.00 60.00 60.00
Atoms (fractional coordinates):
Cd  0.000  0.000  0.000
Pt  0.250  0.250  0.250
K  0.500  0.500  0.500



On energetic grounds, one is preferred over the next structure by 285 meV per atom.



## one
Compound: KCd2Pt2
Source: the Alexandria database
Functional: SCAN
Structure: PBEsol geometry

Calculated density = 9.6 g/cm³

Lattice parameters (Å, degrees): 4.491 4.491 6.445 110.39 110.39 90.00
Atoms (fractional coordinates):
Cd  0.750  0.250  0.500
Cd  0.250  0.750  0.500
Pt  0.612  0.612  0.223
Pt  0.388  0.388  0.777
K  0.000  0.000  0.000



## two
Compound: KCd2Pt2
Source: the Alexandria database
Functional: SCAN
Structure: PBEsol geometry

Calculated density = 11.1 g/cm³

Lattice parameters (Å, degrees): 2.916 8.202 8.202 90.00 90.00 90.00
Atoms (fractional coordinates):
Pt  0.000  0.628  0.128
Cd  0.500  0.834  0.334
Pt  0.000  0.372  0.872
Cd  0.500  0.166  0.666
Pt  0.000  0.872  0.628
K  0.000  0.000  0.000
Cd  0.500  0.334  0.166
Cd  0.500  0.666  0.834
K  0.000  0.500  0.500
Pt  0.000  0.128  0.372



On energetic grounds, two is preferred over the next structure by 39 meV per atom.



## one
Compound: K2RbCd2
Source: the Alexandria database
Functional: SCAN
Structure: PBEsol geometry

Calculated density = 2.9 g/cm³

Lattice parameters (Å, degrees): 4.993 9.409 9.409 90.00 90.00 90.00
Atoms (fractional coordinates):
K  0.500  0.173  0.673
Cd  0.000  0.392  0.892
Rb  0.000  0.000  0.000
K  0.500  0.673  0.827
Rb  0.000  0.500  0.500
K  0.500  0.327  0.173
Cd  0.000  0.608  0.108
Cd  0.000  0.892  0.608
K  0.500  0.827  0.327
Cd  0.000  0.108  0.392



## two
Compound: K2RbCd2
Source: the Alexandria database
Functional: SCAN
Structure: PBEsol geometry

Calculated density = 2.8 g/cm³

Lattice parameters (Å, degrees): 5.498 5.498 8.488 108.90 108.90 90.00
Atoms (fractional coordinates):
K  0.250  0.750  0.500
Rb  0.000  0.000  0.000
K  0.750  0.250  0.500
Cd  0.593  0.593  0.185
Cd  0.407  0.407  0.815



On energetic grounds, one is preferred over the next structure by 34 meV per atom.



## one
Compound: KCd3Rh
Source: the Alexandria database
Functional: SCAN
Structure: PBEsol geometry

Calculated density = 5.9 g/cm³

Lattice parameters (Å, degrees): 7.070 7.244 7.244 61.84 60.79 60.79
Atoms (fractional coordinates):
Cd  0.712  0.788  0.288
K  0.750  0.338  0.162
Cd  0.750  0.816  0.684
K  0.250  0.662  0.838
Cd  0.288  0.212  0.712
Rh  0.500  0.000  0.000
Cd  0.212  0.788  0.288
Rh  0.000  0.500  0.500
Cd  0.788  0.212  0.712
Cd  0.250  0.184  0.316



## two
Compound: KCd3Rh
Source: the Alexandria database
Functional: SCAN
Structure: PBEsol geometry

Calculated density = 5.8 g/cm³

Lattice parameters (Å, degrees): 5.160 5.160 5.160 90.00 90.00 90.00
Atoms (fractional coordinates):
Rh  0.000  0.000  0.000
Cd  0.000  0.000  0.500
Cd  0.500  0.000  0.000
Cd  0.000  0.500  0.000
K  0.500  0.500  0.500



On energetic grounds, one is preferred over the next structure by 14 meV per atom.



## one
Compound: KCdSe
Source: the Alexandria database
Functional: SCAN
Structure: PBEsol geometry

Calculated density = 4.5 g/cm³

Lattice parameters (Å, degrees): 3.888 3.888 6.294 107.99 107.99 90.00
Each line ends with the local moment (μB).
Atoms (fractional coordinates):
K  0.670  0.670  0.340  0.02
Se  0.376  0.376  0.752  0.10
Cd  0.954  0.954  0.908  0.13



## two
Compound: KCdSe
Source: the Alexandria database
Functional: SCAN
Structure: PBEsol geometry

Calculated density = 4.1 g/cm³

Lattice parameters (Å, degrees): 5.091 5.091 5.091 60.00 60.00 60.00
Atoms (fractional coordinates):
Se  0.000  0.000  0.000
Cd  0.500  0.500  0.500
K  0.250  0.250  0.250



## three
Compound: KCdSe
Source: the Alexandria database
Functional: SCAN
Structure: PBEsol geometry

Calculated density = 4.0 g/cm³

Lattice parameters (Å, degrees): 4.447 4.447 5.571 90.00 90.00 120.00
Each line ends with the local moment (μB).
Atoms (fractional coordinates):
K  0.333  0.667  0.641  0.03
Se  0.667  0.333  0.263  0.15
Cd  0.000  0.000  0.096  0.18



On energetic grounds, three is preferred over the next structure by 103 meV per atom.



## one
Compound: KSrCd2
Source: the Alexandria database
Functional: SCAN
Structure: PBEsol geometry

Calculated density = 4.5 g/cm³

Lattice parameters (Å, degrees): 5.700 5.700 5.700 60.00 60.00 60.00
Atoms (fractional coordinates):
K  0.000  0.000  0.000
Cd  0.750  0.750  0.750
Sr  0.500  0.500  0.500
Cd  0.250  0.250  0.250



## two
Compound: KSrCd2
Source: the Alexandria database
Functional: SCAN
Structure: PBEsol geometry

Calculated density = 4.4 g/cm³

Lattice parameters (Å, degrees): 3.914 5.791 5.791 90.16 90.00 90.00
Atoms (fractional coordinates):
Cd  0.000  0.000  0.500
Sr  0.500  0.500  0.500
K  0.500  0.000  0.000
Cd  0.000  0.500  0.000



On energetic grounds, two is preferred over the next structure by 27 meV per atom.



## one
Compound: KCdTc
Source: the Alexandria database
Functional: SCAN
Structure: PBEsol geometry

Calculated density = 6.8 g/cm³

Lattice parameters (Å, degrees): 2.747 2.747 8.332 99.49 99.49 90.00
Atoms (fractional coordinates):
K  0.673  0.673  0.346
Tc  0.345  0.345  0.691
Cd  0.982  0.982  0.964



## two
Compound: KCdTc
Source: the Alexandria database
Functional: SCAN
Structure: PBEsol geometry

Calculated density = 5.1 g/cm³

Lattice parameters (Å, degrees): 4.866 4.866 4.866 60.00 60.00 60.00
Each line ends with the local moment (μB).
Atoms (fractional coordinates):
Cd  0.000  0.000  0.000  -0.07
K  0.500  0.500  0.500  0.02
Tc  0.250  0.250  0.250  3.05



On energetic grounds, one is preferred over the next structure by 545 meV per atom.



## one
Compound: KTlCd
Source: the Alexandria database
Functional: SCAN
Structure: PBEsol geometry

Calculated density = 6.3 g/cm³

Lattice parameters (Å, degrees): 3.695 3.695 7.986 90.00 90.00 120.00
Atoms (fractional coordinates):
Cd  0.000  0.000  0.026
Tl  0.667  0.333  0.305
K  0.333  0.667  0.669



## two
Compound: KTlCd
Source: the Alexandria database
Functional: SCAN
Structure: PBEsol geometry

Calculated density = 6.3 g/cm³

Lattice parameters (Å, degrees): 3.756 4.084 6.741 107.63 106.18 90.00
Atoms (fractional coordinates):
Cd  0.969  0.969  0.939
Tl  0.365  0.365  0.729
K  0.666  0.666  0.332



On energetic grounds, two is preferred over the next structure by 144 meV per atom.